1.
# YZrPb2O6

A relaxed structure of YZrPb2O6 (GGA-PBE, the Alexandria database).

Structure (extended XYZ):
```
20
Lattice="5.861 0.000 0.000 0.000 6.062 0.000 -5.851 0.000 8.469" Properties=species:S:1:pos:R:3 pbc="T T T"
Y 0.000 0.000 0.000
Y -2.925 3.031 4.235
Zr 0.005 0.000 4.235
Zr 2.931 3.031 0.000
Pb -2.973 0.219 6.342
Pb -0.047 2.812 2.108
Pb 0.058 3.250 6.361
Pb 2.983 5.843 2.127
O -1.756 1.120 3.784
O -4.682 1.911 8.019
O -1.046 4.263 3.756
O -3.971 4.830 7.991
O 0.649 0.235 2.197
O -2.277 2.796 6.431
O 2.287 3.266 2.038
O -0.638 5.827 6.272
O 3.981 1.232 0.478
O 1.056 1.799 4.713
O 4.692 4.151 0.450
O 1.767 4.942 4.685
```

Summary:
The spin magnetization is 0.0 μB/f.u. The space-group type is P2_1/c. As for the raw total energy: -74.8 eV per formula unit.

2.
# YZr2PbO

A relaxed structure of YZr2PbO (GGA-PBE, the Alexandria database).

Structure (extended XYZ):
```
5
Lattice="4.484 0.000 0.000 0.000 4.484 0.000 0.000 0.000 5.021" Properties=species:S:1:pos:R:3 pbc="T T T"
Y 0.000 0.000 0.000
Zr 0.000 2.242 2.511
Zr 2.242 0.000 2.511
Pb 2.242 2.242 0.000
O 0.000 0.000 2.511
```

Summary:
The spin magnetization is 0.0 μB/f.u. The space-group type is P4/mmm. As for the raw total energy: -37.8 eV per formula unit.

3.
# Yb3PbO

A relaxed structure of Yb3PbO (GGA-PBE, the Alexandria database).

Structure (extended XYZ):
```
5
Lattice="4.866 0.000 0.000 0.000 4.866 0.000 0.000 0.000 4.866" Properties=species:S:1:pos:R:3 pbc="T T T"
Yb 0.000 0.000 2.433
Yb 0.000 2.433 0.000
Yb 2.433 0.000 0.000
Pb 2.433 2.433 2.433
O 0.000 0.000 0.000
```

Summary:
The spin magnetization is 0.7 μB/f.u. The space-group type is Pm-3m. As for the raw total energy: -20.9 eV per formula unit.

4.
# ZnPb3O

A relaxed structure of ZnPb3O (GGA-PBE, the Alexandria database).

Structure (extended XYZ):
```
5
Lattice="5.021 0.000 0.000 0.000 5.021 0.000 0.000 0.000 5.021" Properties=species:S:1:pos:R:3 pbc="T T T"
Zn 0.000 0.000 0.000
Pb 0.000 2.511 2.511
Pb 2.511 0.000 2.511
Pb 2.511 2.511 0.000
O 2.511 2.511 2.511
```

Summary:
The spin magnetization is 0.0 μB/f.u. The space-group type is Pm-3m. As for the raw total energy: -18.1 eV per formula unit.

5.
# ZnPbO2

A relaxed structure of ZnPbO2 (GGA-PBE, the Alexandria database).

Structure (extended XYZ):
```
4
Lattice="0.000 3.010 3.010 3.010 0.000 3.010 3.010 3.010 0.000" Properties=species:S:1:pos:R:3 pbc="T T T"
Zn 0.000 0.000 0.000
Pb 3.010 3.010 3.010
O 1.505 1.505 1.505
O 4.515 4.515 4.515
```

Summary:
The spin magnetization is 0.0 μB/f.u. The space-group type is Fm-3m. As for the raw total energy: -16.6 eV per formula unit.

6.
# Zn5Pb3O12

A relaxed structure of Zn5Pb3O12 (GGA-PBE, the Alexandria database).

Structure (extended XYZ):
```
80
Lattice="-6.297 6.297 6.297 6.297 -6.297 6.297 6.297 6.297 -6.297" Properties=species:S:1:pos:R:3 pbc="T T T"
Zn 0.000 0.000 0.000
Zn 3.149 3.149 -3.149
Zn 3.149 -3.149 3.149
Zn 6.297 0.000 0.000
Zn 9.446 1.574 0.000
Zn 6.297 -3.149 4.723
Zn 4.723 6.297 -3.149
Zn 4.723 0.000 3.149
Zn 3.149 4.723 0.000
Zn 6.297 3.149 1.574
Zn -3.149 3.149 3.149
Zn 0.000 6.297 0.000
Zn 0.000 0.000 6.297
Zn 3.149 3.149 3.149
Zn 0.000 3.149 4.723
Zn 3.149 1.574 6.297
Zn 1.574 6.297 3.149
Zn 1.574 0.000 9.446
Zn 0.000 9.446 1.574
Zn -3.149 4.723 6.297
Pb 3.149 1.574 0.000
Pb 6.297 3.149 -1.574
Pb 1.574 0.000 3.149
Pb 7.872 0.000 3.149
Pb 0.000 3.149 1.574
Pb 3.149 -1.574 6.297
Pb 3.149 7.872 0.000
Pb 6.297 3.149 4.723
Pb -1.574 6.297 3.149
Pb 4.723 6.297 3.149
Pb 0.000 3.149 7.872
Pb 3.149 4.723 6.297
O 1.934 -0.264 0.724
O 7.512 3.873 -3.413
O 8.231 0.264 0.724
O 7.512 -2.425 3.413
O 6.033 -0.724 1.934
O 9.711 -1.215 2.425
O 0.724 1.934 -0.264
O 8.722 2.884 -1.215
O 3.873 3.413 -1.215
O 5.573 1.934 0.264
O -0.264 0.724 1.934
O 3.413 -1.215 3.873
O 6.033 5.573 -1.934
O 3.413 1.215 2.425
O 3.873 -3.413 7.512
O 5.573 -1.934 6.033
O 2.425 3.413 1.215
O 7.022 4.363 0.264
O 3.413 7.512 -2.425
O 6.033 0.724 4.363
O 1.934 6.033 -0.724
O 7.512 2.425 2.884
O 1.215 2.425 3.413
O 1.934 0.264 5.573
O 4.363 6.033 0.724
O 5.083 3.873 2.884
O -1.215 3.873 3.413
O 4.363 0.264 7.022
O 0.264 5.573 1.934
O 2.884 -1.215 8.722
O -0.724 1.934 6.033
O 3.873 2.884 5.083
O 0.724 8.231 0.264
O 2.425 9.711 -1.215
O 2.884 5.083 3.873
O 0.264 0.724 8.231
O 2.884 7.512 2.425
O 6.562 5.573 4.363
O 0.724 4.363 6.033
O 2.425 2.884 7.512
O -2.425 3.413 7.512
O 5.573 4.363 6.562
O -3.413 7.512 3.873
O 0.264 7.022 4.363
O -1.215 8.722 2.884
O -1.934 6.033 5.573
O -1.215 2.425 9.711
O 4.363 6.562 5.573
```

Summary:
The spin magnetization is 0.0 μB/f.u. The space-group type is Ia-3d. As for the raw total energy: -95.8 eV per formula unit.

7.
# Zn3Pb2O7

A relaxed structure of Zn3Pb2O7 (GGA-PBE, the Alexandria database).

Structure (extended XYZ):
```
24
Lattice="9.942 -2.807 0.000 9.942 2.807 0.000 0.000 0.000 5.456" Properties=species:S:1:pos:R:3 pbc="T T T"
Zn 5.785 1.183 2.522
Zn 9.942 1.514 2.728
Zn 14.098 1.183 2.522
Zn 5.785 -1.183 5.250
Zn 9.942 -1.514 0.000
Zn 14.098 -1.183 5.250
Pb 7.854 1.422 5.373
Pb 12.030 1.422 5.373
Pb 7.854 -1.422 2.645
Pb 12.030 -1.422 2.645
O 2.838 0.520 0.831
O 9.942 2.163 4.675
O 5.804 0.716 0.534
O 2.838 -0.520 3.559
O 8.492 0.542 1.775
O 5.804 -0.716 3.262
O 11.392 0.542 1.775
O 8.492 -0.542 4.503
O 14.080 0.716 0.534
O 11.392 -0.542 4.503
O 17.045 0.520 0.831
O 14.080 -0.716 3.262
O 9.942 -2.163 1.947
O 17.045 -0.520 3.559
```

Summary:
The spin magnetization is 0.0 μB/f.u. The space-group type is Cmc2_1. As for the raw total energy: -58.9 eV per formula unit.

8.
# ZnPbO3

A relaxed structure of ZnPbO3 (GGA-PBE, the Alexandria database).

Structure (extended XYZ):
```
10
Lattice="1.727 -7.429 0.000 1.727 7.429 0.000 0.000 0.000 5.236" Properties=species:S:1:pos:R:3 pbc="T T T"
Zn 1.727 6.698 2.618
Zn 1.727 -6.698 0.000
Pb 1.727 2.499 2.758
Pb 1.727 -2.499 0.140
O 1.727 6.146 4.536
O 1.727 3.787 0.978
O 1.727 1.110 4.391
O 1.727 -1.110 1.773
O 1.727 -3.787 3.596
O 1.727 -6.146 1.919
```

Summary:
The spin magnetization is 0.0 μB/f.u. The space-group type is Cmc2_1. As for the raw total energy: -25.1 eV per formula unit.

Among the records above, which one has the highest raw total energy? ZnPbO2

The highest raw total energy belongs to which entry? ZnPbO2

Among the records above, which one has the highest spin magnetization? Yb3PbO